An optimized crystal structure of BaPaAu2O6. Source: Alexandria, functional GGA-PBE.

```
BaPaAu2O6
1.0
-2.491 3.880 3.806
-3.378 -1.990 4.514
2.849 0.321 6.233
O Au Ba Pa
6 2 1 1
Cartesian
-3.253 2.364 7.612
-2.849 -0.540 6.791
-1.474 0.519 9.371
0.233 -0.153 6.941
-0.172 2.751 7.762
-1.546 1.693 5.181
-2.473 1.672 10.765
-0.548 0.539 3.788
0.000 0.000 0.000
-1.510 1.106 7.276
```

Summary:
- calculated volume (Å³ per cell) = 183.55
- uncorrected formation energy (eV per atom) = -1.605
- calculated total energy (eV for the cell shown) = -63.8